Record 1
# YMgTlCu (PBE-GGA, optimized geometry)
# **Energy**: -57.58 eV for the cell shown
# **Crystal system**: cubic
data_YMgTlCu
_chemical_formula_sum 'Y4 Mg4 Tl4 Cu4'
_symmetry_space_group_name_H-M 'F -4 3 m'
_symmetry_Int_Tables_number 216
_symmetry_space_group_name_Hall 'F -4 2 3'
_cell_length_a 6.936
_cell_length_b 6.936
_cell_length_c 6.936
_cell_angle_alpha 90.00
_cell_angle_beta 90.00
_cell_angle_gamma 90.00
loop_
_atom_site_label
_atom_site_type_symbol
_atom_site_fract_x
_atom_site_fract_y
_atom_site_fract_z
Y1 Y 0.000 0.000 0.000
Mg1 Mg 0.250 0.250 0.250
Tl1 Tl 0.000 0.000 0.500
Cu1 Cu 0.250 0.250 0.750

---

Record 2
# Pr4In21Pd10 (PBE-GGA, optimized geometry)
# **Energy**: -294.81 eV for the cell shown
# **Crystal system**: monoclinic
data_Pr4In21Pd10
_chemical_formula_sum 'Pr8 In42 Pd20'
_symmetry_space_group_name_H-M 'C 1 2/m 1'
_symmetry_Int_Tables_number 12
_cell_length_a 23.390
_cell_length_b 4.556
_cell_length_c 17.371
_cell_angle_alpha 90.00
_cell_angle_beta 124.53
_cell_angle_gamma 90.00
loop_
_symmetry_equiv_pos_as_xyz
'x,y,z'
'-x,-y,-z'
'-x,y,-z'
'x,-y,z'
'x+1/2,y+1/2,z'
'-x+1/2,-y+1/2,-z'
'-x+1/2,y+1/2,-z'
'x+1/2,-y+1/2,z'
loop_
_atom_site_label
_atom_site_type_symbol
_atom_site_fract_x
_atom_site_fract_y
_atom_site_fract_z
Pr1 Pr 0.122 0.000 0.333
Pr2 Pr 0.230 0.000 0.825
In1 In 0.000 0.500 0.500
In2 In 0.010 0.000 0.093
In3 In 0.042 0.500 0.368
In4 In 0.065 0.000 0.798
In5 In 0.101 0.500 0.997
In6 In 0.116 0.000 0.552
In7 In 0.116 0.500 0.705
In8 In 0.130 0.500 0.198
In9 In 0.201 0.000 0.005
In10 In 0.201 0.500 0.500
In11 In 0.249 0.500 0.706
Pd1 Pd 0.006 0.500 0.187
Pd2 Pd 0.025 0.000 0.611
Pd3 Pd 0.137 0.000 0.106
Pd4 Pd 0.154 0.500 0.888
Pd5 Pd 0.250 0.000 0.615